(1)
Density functional theory data (PBE) for LiTm4Cd7 after structural relaxation.

As for the density of states at the Fermi level: 6.8 states/eV/f.u. The energy relative to the elements is -1.43 eV per formula unit. As for the size of the total moment: 0.0 μB/cell.

It has space group C2/m (No. 12), with a = 11.827 Å, b = 5.284 Å, c = 11.276 Å, α = 90.00°, β = 119.70° and γ = 90.00°. The inequivalent atoms are Li at (0.000, 0.000, 0.000), Tm at (0.091, 0.500, 0.775), Tm at (0.244, 0.500, 0.319), Cd at (0.000, 0.500, 0.000), Cd at (0.073, 0.000, 0.331), Cd at (0.132, 0.500, 0.517) and Cd at (0.202, 0.000, 0.924).

=====

(2)
Density functional theory data (PBE) for Li4TmCd after structural relaxation.

As for the density of states at the Fermi level: 5.4 states/eV/f.u. The energy relative to the elements is -0.28 eV per formula unit. As for the size of the total moment: 0.0 μB/cell.

It has space group F-43m (No. 216), with a = 7.738 Å, b = 7.738 Å, c = 7.738 Å, α = 90.00°, β = 90.00° and γ = 90.00°. The inequivalent atoms are Li at (0.123, 0.123, 0.377), Tm at (0.000, 0.000, 0.000) and Cd at (0.250, 0.250, 0.750).

=====

(3)
Density functional theory data (PBE) for LiTmCd4 after structural relaxation.

The value obtained for the offset from the most stable computed form is 35 kJ/mol of formula units. As for the density of states at the Fermi level: 3.0 states/eV/f.u. The energy relative to the elements is -0.80 eV per formula unit. As for the size of the total moment: 0.0 μB/cell.

It has space group F-43m (No. 216), with a = 8.225 Å, b = 8.225 Å, c = 8.225 Å, α = 90.00°, β = 90.00° and γ = 90.00°. The inequivalent atoms are Li at (0.000, 0.000, 0.000), Tm at (0.250, 0.250, 0.250) and Cd at (0.125, 0.125, 0.625).

=====

(4)
Density functional theory data (PBE) for Li2Tm3Cd7 after structural relaxation.

The value obtained for the offset from the most stable computed form is 53 kJ/mol of formula units. As for the density of states at the Fermi level: 6.1 states/eV/f.u. The energy relative to the elements is -1.38 eV per formula unit. As for the size of the total moment: 0.0 μB/cell.

It has space group P2/m (No. 10), with a = 5.015 Å, b = 5.094 Å, c = 11.261 Å, α = 90.00°, β = 97.27° and γ = 90.00°. The inequivalent atoms are Li at (0.099, 0.000, 0.294), Tm at (0.000, 0.000, 0.000), Tm at (0.440, 0.500, 0.669), Cd at (0.025, 0.500, 0.164), Cd at (0.263, 0.000, 0.543), Cd at (0.449, 0.000, 0.831) and Cd at (0.500, 0.500, 0.000).

=====

(5)
Density functional theory data (PBE) for Li2TmCd7 after structural relaxation.

As for the density of states at the Fermi level: 3.8 states/eV/f.u. The energy relative to the elements is -1.16 eV per formula unit. As for the size of the total moment: 0.0 μB/cell.

It has space group P3m1 (No. 156), with a = 4.8838 Å, b = 4.8838 Å, c = 10.6755 Å, α = 90.00°, β = 90.00° and γ = 120.00°. The inequivalent atoms are Li at (0.0000, 0.0000, 0.0000), Li at (0.3333, 0.6667, 0.8303), Tm at (0.6667, 0.3333, 0.3152), Cd at (0.0000, 0.0000, 0.2279), Cd at (0.0000, 0.0000, 0.4974), Cd at (0.0000, 0.0000, 0.7616), Cd at (0.3333, 0.6667, 0.1188), Cd at (0.3333, 0.6667, 0.4552), Cd at (0.6667, 0.3333, 0.6344) and Cd at (0.6667, 0.3333, 0.9415).

=====

(6)
Density functional theory data (PBE) for LiTmCd4 after structural relaxation.

The value obtained for the offset from the most stable computed form is 4 kJ/mol of formula units. As for the density of states at the Fermi level: 2.5 states/eV/f.u. The energy relative to the elements is -1.12 eV per formula unit. As for the size of the total moment: 0.0 μB/cell.

It has space group C2/m (No. 12), with a = 10.011 Å, b = 3.873 Å, c = 7.356 Å, α = 90.00°, β = 110.20° and γ = 90.00°. The inequivalent atoms are Li at (0.000, 0.000, 0.000), Tm at (0.000, 0.000, 0.500), Cd at (0.164, 0.500, 0.307) and Cd at (0.164, 0.500, 0.850).

=====

(7)
Density functional theory data (PBE) for LiTm3Cd4 after structural relaxation.

As for the density of states at the Fermi level: 4.0 states/eV/f.u. The energy relative to the elements is -2.27 eV per formula unit. As for the size of the total moment: 0.0 μB/cell.

It has space group P4/mmm (No. 123), with a = 3.616 Å, b = 3.616 Å, c = 14.595 Å, α = 90.00°, β = 90.00° and γ = 90.00°. The inequivalent atoms are Li at (0.000, 0.000, 0.000), Tm at (0.000, 0.000, 0.242), Tm at (0.000, 0.000, 0.500), Cd at (0.500, 0.500, 0.109) and Cd at (0.500, 0.500, 0.371).

=====

(8)
Density functional theory data (PBE) for Li2TmCd5 after structural relaxation.

As for the density of states at the Fermi level: 3.5 states/eV/f.u. The energy relative to the elements is -1.81 eV per formula unit. As for the size of the total moment: 0.0 μB/cell.

It has space group I4/mmm (No. 139), with a = 4.642 Å, b = 4.642 Å, c = 15.542 Å, α = 90.00°, β = 90.00° and γ = 90.00°. The inequivalent atoms are Li at (0.000, 0.000, 0.248), Tm at (0.000, 0.000, 0.000), Cd at (0.000, 0.000, 0.500) and Cd at (0.000, 0.500, 0.140).

=====

(9)
Density functional theory data (PBE) for LiTm4Cd3 after structural relaxation.

As for the density of states at the Fermi level: 7.0 states/eV/f.u. The energy relative to the elements is -1.74 eV per formula unit. As for the size of the total moment: 0.0 μB/cell.

It has space group C2/m (No. 12), with a = 15.622 Å, b = 5.213 Å, c = 5.213 Å, α = 90.00°, β = 109.44° and γ = 90.00°. The inequivalent atoms are Li at (0.000, 0.000, 0.000), Tm at (0.124, 0.000, 0.624), Tm at (0.124, 0.500, 0.124), Cd at (0.000, 0.500, 0.500) and Cd at (0.247, 0.000, 0.247).

=====

(10)
Density functional theory data (PBE) for LiTmCd3 after structural relaxation.

As for the density of states at the Fermi level: 2.5 states/eV/f.u. The energy relative to the elements is -0.82 eV per formula unit. As for the size of the total moment: 0.0 μB/cell.

It has space group C2/m (No. 12), with a = 27.666 Å, b = 3.304 Å, c = 4.961 Å, α = 90.00°, β = 93.32° and γ = 90.00°. The inequivalent atoms are Li at (0.130, 0.000, 0.292), Tm at (0.073, 0.500, 0.773), Cd at (0.030, 0.000, 0.259), Cd at (0.174, 0.000, 0.805) and Cd at (0.217, 0.500, 0.298).

=====

(11)
Density functional theory data (PBE) for Li2Tm3Cd5 after structural relaxation.

As for the density of states at the Fermi level: 4.9 states/eV/f.u. The energy relative to the elements is -2.41 eV per formula unit. As for the size of the total moment: 0.0 μB/cell.

It has space group P4/mbm (No. 127), with a = 10.332 Å, b = 10.332 Å, c = 4.158 Å, α = 90.00°, β = 90.00° and γ = 90.00°. The inequivalent atoms are Li at (0.116, 0.384, 0.000), Tm at (0.000, 0.000, 0.000), Tm at (0.179, 0.679, 0.000), Cd at (0.000, 0.500, 0.500) and Cd at (0.062, 0.215, 0.500).

=====

(12)
Density functional theory data (PBE) for Li7TmCd4 after structural relaxation.

As for the density of states at the Fermi level: 5.4 states/eV/f.u. The energy relative to the elements is -0.25 eV per formula unit. As for the size of the total moment: 0.0 μB/cell.

It has space group C2/m (No. 12), with a = 13.820 Å, b = 5.041 Å, c = 8.239 Å, α = 90.00°, β = 121.68° and γ = 90.00°. The inequivalent atoms are Li at (0.000, 0.000, 0.000), Li at (0.083, 0.500, 0.453), Li at (0.216, 0.500, 0.892), Li at (0.234, 0.000, 0.693), Tm at (0.000, 0.500, 0.000), Cd at (0.052, 0.000, 0.726) and Cd at (0.179, 0.000, 0.331).

=====

(13)
Density functional theory data (PBE) for LiTm2Cd8 after structural relaxation.

As for the density of states at the Fermi level: 5.1 states/eV/f.u. The energy relative to the elements is -2.11 eV per formula unit. As for the size of the total moment: 0.0 μB/cell.

It has space group P-1 (No. 2), with a = 4.774 Å, b = 6.747 Å, c = 8.260 Å, α = 103.88°, β = 106.27° and γ = 90.21°. The inequivalent atoms are Li at (0.000, 0.000, 0.000), Tm at (0.281, 0.343, 0.563), Cd at (0.096, 0.430, 0.186), Cd at (0.160, 0.888, 0.317), Cd at (0.349, 0.841, 0.705) and Cd at (0.475, 0.267, 0.949).

=====

(14)
Density functional theory data (PBE) for Li5TmCd6 after structural relaxation.

As for the density of states at the Fermi level: 4.3 states/eV/f.u. The energy relative to the elements is -2.79 eV per formula unit. As for the size of the total moment: 0.0 μB/cell.

It has space group Immm (No. 71), with a = 4.837 Å, b = 6.929 Å, c = 14.362 Å, α = 90.00°, β = 90.00° and γ = 90.00°. The inequivalent atoms are Li at (0.000, 0.000, 0.000), Li at (0.000, 0.000, 0.341), Li at (0.000, 0.500, 0.330), Tm at (0.000, 0.500, 0.000), Cd at (0.000, 0.234, 0.173) and Cd at (0.000, 0.277, 0.500).

=====

(15)
Density functional theory data (PBE) for LiTmCd2 after structural relaxation.

The value obtained for the offset from the most stable computed form is 64 kJ/mol of formula units. As for the density of states at the Fermi level: 2.6 states/eV/f.u. The energy relative to the elements is -0.38 eV per formula unit. As for the size of the total moment: 0.0 μB/cell.

It has space group R3m (No. 160, hexagonal axes), with a = 3.3855 Å, b = 3.3855 Å, c = 28.5895 Å, α = 90.00°, β = 90.00° and γ = 120.00°. The inequivalent atoms are Li at (0.0000, 0.0000, 0.0000), Tm at (0.0000, 0.0000, 0.1685), Cd at (0.0000, 0.0000, 0.4113) and Cd at (0.0000, 0.0000, 0.5913).

=====

(16)
Density functional theory data (PBE) for LiTm2Cd6 after structural relaxation.

The value obtained for the offset from the most stable computed form is 35 kJ/mol of formula units. As for the density of states at the Fermi level: 5.5 states/eV/f.u. The energy relative to the elements is -1.81 eV per formula unit. As for the size of the total moment: 0.0 μB/cell.

It has space group Cmmm (No. 65), with a = 7.276 Å, b = 12.034 Å, c = 4.752 Å, α = 90.00°, β = 90.00° and γ = 90.00°. The inequivalent atoms are Li at (0.000, 0.000, 0.000), Tm at (0.000, 0.227, 0.500), Cd at (0.201, 0.364, 0.000) and Cd at (0.242, 0.500, 0.500).

=====

(17)
Density functional theory data (PBE) for LiTm2Cd6 after structural relaxation.

The value obtained for the offset from the most stable computed form is 0 kJ/mol of formula units. As for the density of states at the Fermi level: 5.3 states/eV/f.u. The energy relative to the elements is -2.17 eV per formula unit. As for the size of the total moment: 0.0 μB/cell.

It has space group P6/mmm (No. 191), with a = 8.5722 Å, b = 8.5722 Å, c = 3.2916 Å, α = 90.00°, β = 90.00° and γ = 120.00°. The inequivalent atoms are Li at (0.0000, 0.0000, 0.0000), Tm at (0.3333, 0.6667, 0.0000) and Cd at (0.0000, 0.3299, 0.5000).

=====

(18)
Density functional theory data (PBE) for LiTm4Cd5 after structural relaxation.

As for the density of states at the Fermi level: 5.9 states/eV/f.u. The energy relative to the elements is -2.88 eV per formula unit. As for the size of the total moment: 0.0 μB/cell.

It has space group P4/mmm (No. 123), with a = 3.615 Å, b = 3.615 Å, c = 18.460 Å, α = 90.00°, β = 90.00° and γ = 90.00°. The inequivalent atoms are Li at (0.000, 0.000, 0.000), Tm at (0.000, 0.000, 0.191), Tm at (0.000, 0.000, 0.397), Cd at (0.500, 0.500, 0.086), Cd at (0.500, 0.500, 0.295) and Cd at (0.500, 0.500, 0.500).

=====

(19)
Density functional theory data (PBE) for LiTmCd2 after structural relaxation.

The value obtained for the offset from the most stable computed form is 12 kJ/mol of formula units. As for the density of states at the Fermi level: 2.4 states/eV/f.u. The energy relative to the elements is -0.91 eV per formula unit. As for the size of the total moment: 0.0 μB/cell.

It has space group P4/mmm (No. 123), with a = 5.210 Å, b = 5.210 Å, c = 3.427 Å, α = 90.00°, β = 90.00° and γ = 90.00°. The inequivalent atoms are Li at (0.000, 0.000, 0.000), Tm at (0.500, 0.500, 0.000) and Cd at (0.000, 0.500, 0.500).

=====

(20)
Density functional theory data (PBE) for Li3TmCd2 after structural relaxation.

As for the density of states at the Fermi level: 2.1 states/eV/f.u. The energy relative to the elements is -0.95 eV per formula unit. As for the size of the total moment: 0.0 μB/cell.

It has space group C2/m (No. 12), with a = 15.933 Å, b = 4.404 Å, c = 8.322 Å, α = 90.00°, β = 121.24° and γ = 90.00°. The inequivalent atoms are Li at (0.080, 0.000, 0.203), Li at (0.099, 0.500, 0.008), Li at (0.244, 0.000, 0.593), Tm at (0.092, 0.000, 0.721), Cd at (0.079, 0.500, 0.428) and Cd at (0.241, 0.000, 0.146).